# ThPaPd6

An optimized crystal structure of ThPaPd6 (PBE, Alexandria).

Calculated values
Symmetry: P4/mmm, No. 123
ΔE_f: -75 kJ/mol of atoms
Final energy: -6.78 eV per atom

a = 4.1994 Å, b = 4.1994 Å, c = 8.3987 Å
α = 90.00°, β = 90.00°, γ = 90.00°
With the nearest neighbours (Å) after each atom.
Positions (direct):
Pd 0.5000 0.0000 0.2478  2 Pa 2.96, 8 Pd 2.96-2.98, 2 Th 2.98
Th 0.0000 0.0000 0.5000  12 Pd 2.97-2.98
Pd 0.5000 0.5000 0.0000  8 Pd 2.96, 4 Pa 2.97
Pd 0.5000 0.0000 0.7522  2 Pa 2.96, 8 Pd 2.96-2.98, 2 Th 2.98
Pd 0.0000 0.5000 0.7522  8 Pd 2.96-2.98, 2 Pa 2.96, 2 Th 2.98
Pa 0.0000 0.0000 0.0000  12 Pd 2.96-2.97
Pd 0.0000 0.5000 0.2478  8 Pd 2.96-2.98, 2 Pa 2.96, 2 Th 2.98
Pd 0.5000 0.5000 0.5000  4 Th 2.97, 8 Pd 2.98

# CaBeAg2Hg

An optimized crystal structure of CaBeAg2Hg (PBE, Alexandria).

Calculated values
Symmetry: P4/mmm, No. 123
ΔE_f: -7 kJ/mol of atoms
Final energy: -2.42 eV per atom

a = 4.6932 Å, b = 4.6932 Å, c = 4.6804 Å
α = 90.00°, β = 90.00°, γ = 90.00°
With the nearest neighbours (Å) after each atom.
Positions (direct):
Hg 0.0000 0.0000 0.5000  2 Be 2.34
Ag 0.5000 0.0000 0.0000  2 Be 2.35
Ca 0.5000 0.5000 0.5000  8 Ag 3.31, 4 Hg 3.32
Be 0.0000 0.0000 0.0000  2 Hg 2.34, 4 Ag 2.35
Ag 0.0000 0.5000 0.0000  2 Be 2.35

# Dy3Al12Os4

An optimized crystal structure of Dy3Al12Os4 (PBE, Alexandria).

Calculated values
Symmetry: P6_3/mmc, No. 194
ΔE_f: -57 kJ/mol of atoms
Final energy: -6.05 eV per atom

a = 8.8033 Å, b = 8.8033 Å, c = 9.6097 Å
α = 90.00°, β = 90.00°, γ = 120.00°
With the nearest neighbours (Å) after each atom.
Positions (direct):
Al 0.3272 0.1636 0.0754  3 Os 2.60-2.67, 5 Al 2.74-2.88
Dy 0.6126 0.8063 0.2500  11 Al 2.95-3.22
Al 0.1636 0.8364 0.5754  3 Os 2.60-2.67, 5 Al 2.74-2.88
Os 0.0000 0.0000 0.0000  8 Al 2.40-2.60
Al 0.6728 0.8364 0.9246  3 Os 2.60-2.67, 5 Al 2.74-2.88
Dy 0.3874 0.1937 0.7500  11 Al 2.95-3.22
Os 0.5000 0.5000 0.5000  8 Al 2.55-2.67
Al 0.5618 0.4382 0.2500  2 Os 2.58, 6 Al 2.77-2.82
Al 0.0000 0.0000 0.7500  2 Os 2.40
Al 0.6667 0.3333 0.5189  3 Os 2.55, 3 Al 2.74
Al 0.5618 0.1237 0.2500  2 Os 2.58, 6 Al 2.77-2.82
Al 0.8364 0.6728 0.0754  3 Os 2.60-2.67, 5 Al 2.74-2.88
Al 0.6667 0.3333 0.9811  3 Os 2.55, 3 Al 2.74
Al 0.8364 0.6728 0.4246  3 Os 2.60-2.67, 5 Al 2.74-2.88
Al 0.4382 0.5618 0.7500  2 Os 2.58, 6 Al 2.77-2.82
Al 0.3272 0.1636 0.4246  3 Os 2.60-2.67, 5 Al 2.74-2.88
Os 0.0000 0.5000 0.0000  8 Al 2.55-2.67
Dy 0.1937 0.3874 0.2500  11 Al 2.95-3.22
Al 0.1636 0.3272 0.9246  3 Os 2.60-2.67, 5 Al 2.74-2.88
Al 0.8364 0.1636 0.4246  3 Os 2.60-2.67, 5 Al 2.74-2.88
Al 0.8364 0.1636 0.0754  3 Os 2.60-2.67, 5 Al 2.74-2.88
Al 0.3333 0.6667 0.0189  3 Os 2.55, 3 Al 2.74
Al 0.1636 0.8364 0.9246  3 Os 2.60-2.67, 5 Al 2.74-2.88
Os 0.0000 0.0000 0.5000  8 Al 2.40-2.60
Al 0.6728 0.8364 0.5754  3 Os 2.60-2.67, 5 Al 2.74-2.88
Os 0.0000 0.5000 0.5000  8 Al 2.55-2.67
Al 0.4382 0.8763 0.7500  2 Os 2.58, 6 Al 2.77-2.82
Os 0.5000 0.0000 0.0000  8 Al 2.55-2.67
Os 0.5000 0.0000 0.5000  8 Al 2.55-2.67
Al 0.1636 0.3272 0.5754  3 Os 2.60-2.67, 5 Al 2.74-2.88
Al 0.1237 0.5618 0.7500  2 Os 2.58, 6 Al 2.77-2.82
Al 0.8763 0.4382 0.2500  2 Os 2.58, 6 Al 2.77-2.82
Dy 0.8063 0.1937 0.7500  11 Al 2.95-3.22
Al 0.3333 0.6667 0.4811  3 Os 2.55, 3 Al 2.74
Dy 0.8063 0.6126 0.7500  11 Al 2.95-3.22
Os 0.5000 0.5000 0.0000  8 Al 2.55-2.67
Dy 0.1937 0.8063 0.2500  11 Al 2.95-3.22
Al 0.0000 0.0000 0.2500  2 Os 2.40

# SrCaMnCo2

An optimized crystal structure of SrCaMnCo2 (PBE, Alexandria).

Calculated values
Symmetry: P4/mmm, No. 123
ΔE_f: 202 kJ/mol of atoms
Final energy: -3.32 eV per atom

a = 4.6296 Å, b = 5.4951 Å, c = 4.6296 Å
α = 90.00°, β = 90.00°, γ = 90.00°
With the nearest neighbours (Å) after each atom.
Positions (direct):
Co 0.5000 0.0000 0.0000  2 Ca 2.31
Sr 0.0000 0.5000 0.0000  2 Ca 2.75
Mn 0.5000 0.5000 0.5000  4 Sr 3.27, 8 Co 3.59
Co 0.0000 0.0000 0.5000  2 Ca 2.31
Ca 0.0000 0.0000 0.0000  4 Co 2.31